# 1
Below is a relaxed structure of Pr2Y2HoSc, with properties calculated at the PBE level.

**Space group**: No. 26
**Calculated density**: 5731 kg/m3
**Crystal system**: orthorhombic
**Total energy**: -5.525 eV/atom

Unit cell a=5.682 b=10.863 c=6.286 alpha=90.00 beta=90.00 gamma=90.00
Atoms (fractional coordinates):
Pr1 0.000 0.082 0.000
Pr2 0.000 0.918 0.500
Pr3 0.500 0.259 0.168
Pr4 0.500 0.741 0.668
Y1 0.000 0.423 0.984
Y2 0.000 0.577 0.484
Y3 0.500 0.091 0.666
Y4 0.500 0.909 0.166
Ho1 0.000 0.257 0.502
Ho2 0.000 0.743 0.002
Sc1 0.500 0.420 0.659
Sc2 0.500 0.580 0.159

# 2
Below is a relaxed structure of Ti2AlBi, with properties calculated at the PBE level.

**Space group**: No. 123
**Calculated density**: 7252 kg/m3
**Crystal system**: tetragonal
**Excess energy over the best structure of this formula in the dataset**: 0.000 eV per formula unit

Unit cell a=4.280 b=4.280 c=4.146 alpha=90.00 beta=90.00 gamma=90.00
Atoms (fractional coordinates):
Ti1 0.000 0.500 0.000
Ti2 0.500 0.000 0.000
Al1 0.000 0.000 0.500
Bi1 0.500 0.500 0.500